Entry 1:
! Ac7InGe5 (PBE, optimized geometry); values from VASP
&SYSTEM
  ibrav = 0, nat = 13, ntyp = 3
/
ATOMIC_SPECIES
Ac 227.00 Ac.upf
Ge 72.64 Ge.upf
In 114.82 In.upf
CELL_PARAMETERS angstrom
-2.114 -6.231 0.704
6.422 -5.395 2.629
-3.772 -1.351 7.823
ATOMIC_POSITIONS angstrom
Ac 3.436 -7.817 3.331
Ac -0.066 -3.222 2.379
Ac -3.395 -5.106 6.812
Ac 1.294 -10.387 5.247
Ac -0.481 -6.407 4.045
Ac 1.366 -6.607 7.824
Ac -2.575 -8.852 7.219
Ge 2.943 -2.977 1.434
Ge -2.672 -3.511 4.149
Ge 2.117 -5.411 1.709
Ge 0.270 -9.718 8.096
Ge -1.846 -1.077 3.875
In -1.937 -6.250 1.065
! D(E_F)   12.0 states/eV/cell
! Spin magnetization   0.00 Bohr magnetons per cell
! Formation enthalpy at 0 K   -0.437 eV/atom

---

Entry 2:
! La3SmHo6 (PBE, optimized geometry); values from VASP
&SYSTEM
  ibrav = 0, nat = 10, ntyp = 3
/
ATOMIC_SPECIES
La 138.91 La.upf
Ho 164.93 Ho.upf
Sm 150.36 Sm.upf
CELL_PARAMETERS angstrom
-9.442 -0.976 3.009
-5.738 -7.168 -3.854
-3.918 -5.134 2.518
ATOMIC_POSITIONS angstrom
La -4.262 -4.404 1.674
La -9.885 -5.925 0.011
La -9.032 -7.734 2.104
Ho -10.629 -5.052 3.724
Ho -8.672 -7.907 -2.244
Ho -6.109 -6.747 0.415
Ho -11.220 -9.575 0.057
Ho -12.968 -6.238 0.952
Ho -8.046 -3.567 1.252
Sm -14.663 -9.238 0.422
! D(E_F)   22.7 states/eV/cell
! Spin magnetization   0.00 Bohr magnetons per cell
! ΔE to the lowest computed polymorph   0.069 eV per atom
! Formation enthalpy at 0 K   0.292 eV/atom

---

Entry 3:
! TaV2Ge (PBE, optimized geometry); values from VASP
&SYSTEM
  ibrav = 0, nat = 4, ntyp = 3
/
ATOMIC_SPECIES
V 50.94 V.upf
Ge 72.64 Ge.upf
Ta 180.95 Ta.upf
CELL_PARAMETERS angstrom
-3.204 -0.398 1.105
1.428 -0.995 3.781
-0.118 4.013 1.100
ATOMIC_POSITIONS angstrom
V -0.059 2.006 0.550
V 0.714 -0.497 1.891
Ge -1.602 -0.199 0.553
Ta -0.947 1.310 2.994
! D(E_F)   4.4 states/eV/cell
! Spin magnetization   0.00 Bohr magnetons per cell
! Formation enthalpy at 0 K   -0.196 eV/atom

---

Entry 4:
! SrMoPt (PBE, optimized geometry); values from VASP
&SYSTEM
  ibrav = 0, nat = 6, ntyp = 3
/
ATOMIC_SPECIES
Mo 95.94 Mo.upf
Pt 195.08 Pt.upf
Sr 87.62 Sr.upf
CELL_PARAMETERS angstrom
6.365 0.149 -0.082
1.008 5.337 0.025
0.005 2.291 4.404
ATOMIC_POSITIONS angstrom
Mo 6.421 1.725 0.442
Mo 6.114 5.469 1.300
Pt 2.619 0.866 0.893
Pt 0.903 3.270 2.439
Sr 4.115 3.056 2.551
Sr 2.271 6.003 3.819
! D(E_F)   2.3 states/eV/cell
! Spin magnetization   0.00 Bohr magnetons per cell
! ΔE to the lowest computed polymorph   0.157 eV per atom
! Formation enthalpy at 0 K   0.025 eV/atom